(1)
The following is a PBE calculation of crystalline V3IrRu at its relaxed geometry, from Alexandria.

abc: 7.226 7.226 6.051
angles: 90.03 90.03 72.87
Element x y z (fractional)
V  0.113  0.114  0.499
V  0.114  0.113  0.999
V  0.174  0.559  0.946
V  0.175  0.558  0.553
V  0.441  0.826  0.554
V  0.442  0.825  0.947
V  0.558  0.175  0.053
V  0.559  0.174  0.446
V  0.825  0.442  0.447
V  0.826  0.441  0.054
V  0.886  0.887  0.001
V  0.887  0.886  0.501
Ir  0.181  0.819  0.250
Ir  0.498  0.502  0.250
Ir  0.502  0.498  0.750
Ir  0.819  0.181  0.750
Ru  0.186  0.340  0.249
Ru  0.340  0.186  0.749
Ru  0.660  0.814  0.251
Ru  0.814  0.660  0.751

Summary:
Space-group type ... C2/c (15)
Formation energy ... 59.0 meV per atom
Crystal system ... monoclinic
Energy above the most stable polymorph in this dataset ... 0.000 eV/atom

***

(2)
The following is a PBE calculation of crystalline Be2TcRh at its relaxed geometry, from Alexandria.

abc: 2.764 2.764 5.783
angles: 90.00 90.00 90.00
Element x y z (fractional)
Be  0.000  0.000  0.225
Be  0.000  0.000  0.775
Tc  0.500  0.500  0.500
Rh  0.500  0.500  0.000

Summary:
Space-group type ... P4/mmm (123)
Formation energy ... -325.5 meV per atom
Crystal system ... tetragonal
Energy above the most stable polymorph in this dataset ... 0.000 eV/atom

***

(3)
The following is a PBE calculation of crystalline HoLuAl4 at its relaxed geometry, from Alexandria.

abc: 5.516 5.516 5.516
angles: 60.00 60.00 60.00
Element x y z (fractional)
Ho  0.000  0.000  0.000
Lu  0.750  0.750  0.750
Al  0.375  0.375  0.375
Al  0.375  0.375  0.875
Al  0.375  0.875  0.375
Al  0.875  0.375  0.375

Summary:
Space-group type ... F-43m (216)
Formation energy ... -496.3 meV per atom
Crystal system ... cubic

***

(4)
The following is a PBE calculation of crystalline ThNp2Ir9 at its relaxed geometry, from Alexandria.

abc: 9.302 9.302 9.302
angles: 33.20 33.20 33.20
Element x y z (fractional)
Th  0.000  0.000  0.000
Np  0.141  0.141  0.141
Np  0.859  0.859  0.859
Ir  0.081  0.585  0.585
Ir  0.334  0.334  0.334
Ir  0.415  0.415  0.919
Ir  0.415  0.919  0.415
Ir  0.500  0.500  0.500
Ir  0.585  0.081  0.585
Ir  0.585  0.585  0.081
Ir  0.666  0.666  0.666
Ir  0.919  0.415  0.415

Summary:
Space-group type ... R-3m (166)
Formation energy ... -459.7 meV per atom
Crystal system ... trigonal

***

(5)
The following is a PBE calculation of crystalline Li2CrIn at its relaxed geometry, from Alexandria.

abc: 5.031 5.031 4.456
angles: 116.20 116.20 45.48
Element x y z (fractional)
Li  0.000  0.000  0.000
Li  0.732  0.732  0.232
Cr  0.249  0.249  0.749
In  0.487  0.487  0.486

Summary:
Space-group type ... Cm (8)
Formation energy ... 103.0 meV per atom
Crystal system ... monoclinic

***

(6)
The following is a PBE calculation of crystalline KPaPdO5 at its relaxed geometry, from Alexandria.

abc: 7.127 7.127 5.546
angles: 110.83 110.83 99.78
Element x y z (fractional)
K  0.097  0.903  0.750
K  0.903  0.097  0.250
Pa  0.000  0.500  0.000
Pa  0.500  0.000  0.500
Pd  0.438  0.562  0.750
Pd  0.562  0.438  0.250
O  0.153  0.847  0.250
O  0.157  0.521  0.762
O  0.289  0.427  0.301
O  0.427  0.289  0.801
O  0.479  0.843  0.738
O  0.521  0.157  0.262
O  0.573  0.711  0.199
O  0.711  0.573  0.699
O  0.843  0.479  0.238
O  0.847  0.153  0.750

Summary:
Space-group type ... C2/c (15)
Energy relative to the elements, uncorrected ... -46.46 kcal/mol of atoms
Crystal system ... monoclinic

***

(7)
The following is a PBE calculation of crystalline Sc2TeHOs at its relaxed geometry, from Alexandria.

abc: 4.593 4.593 3.783
angles: 90.00 90.00 90.00
Element x y z (fractional)
Sc  0.000  0.500  0.000
Sc  0.500  0.000  0.000
Te  0.000  0.000  0.500
H  0.500  0.500  0.000
Os  0.500  0.500  0.500

Summary:
Space-group type ... P4/mmm (123)
Crystal system ... tetragonal
Energy ... -32.24 eV per cell

***

(8)
The following is a PBE calculation of crystalline SrAg2Rh at its relaxed geometry, from Alexandria.

abc: 9.848 9.848 9.848
angles: 18.48 18.48 18.48
Element x y z (fractional)
Sr  0.000  0.000  0.000
Ag  0.241  0.241  0.241
Ag  0.759  0.759  0.759
Rh  0.500  0.500  0.500

Summary:
Space-group type ... R-3m (166)
Formation energy ... 561.2 meV per atom
Crystal system ... trigonal
Energy above the most stable polymorph in this dataset ... 0.638 eV/atom